(1)
RbTlIn2Au | GGA-PBEsol | relaxed

Output
As for the symmetry: P4/mmm, No. 123. Its crystal system is tetragonal.

Cell and atoms, written as POSCAR:
```
RbTlIn2Au
1.0
6.071 0.000 0.000
0.000 6.071 0.000
0.000 0.000 6.062
Rb Tl In Au
1 1 2 1
Direct
0.000 0.000 0.000 Rb
0.000 0.000 0.500 Tl
0.000 0.500 0.000 In
0.500 0.000 0.000 In
0.500 0.500 0.500 Au
```

---

(2)
RbZnIn2Au | GGA-PBEsol | relaxed

Output
As for the symmetry: P4/mmm, No. 123. Its crystal system is tetragonal.

Cell and atoms, written as POSCAR:
```
RbZnIn2Au
1.0
6.292 0.000 0.000
0.000 6.292 0.000
0.000 0.000 5.725
Rb Zn In Au
1 1 2 1
Direct
0.000 0.000 0.000 Rb
0.500 0.500 0.500 Zn
0.000 0.500 0.000 In
0.500 0.000 0.000 In
0.000 0.000 0.500 Au
```

---

no.,magnetic moment (μB per cell),electronic total energy (Ha/atom),DOS at the Fermi energy (states/eV/atom)
1,0.0,-0.0526,1.1631
2,0.0,-0.0481,1.0005